Sr2VSnO6 | PBE+U | optimized geometry

Lattice parameters (Å, degrees): 5.676 5.676 5.676 60.00 60.00 60.00
Sites, in units of the cell vectors:
Sr 0.250 0.250 0.250
Sr 0.750 0.750 0.750
V 0.000 0.000 0.000
Sn 0.500 0.500 0.500
O 0.244 0.244 0.756
O 0.244 0.756 0.244
O 0.244 0.756 0.756
O 0.756 0.244 0.244
O 0.756 0.244 0.756
O 0.756 0.756 0.244

Results
Excess energy over the best structure of this formula in the dataset = 0.066 eV/atom
Spin magnetization = 0.100 μB per atom
ρ = 5.66 Mg/m³
Uncorrected energy = -0.49446 Ry/atom